Here is crystalline Nd2YPdO5 at its relaxed geometry from Alexandria. Energies are from PBE.

Unit cell a=6.605 b=6.605 c=5.931 alpha=90.00 beta=90.00 gamma=90.00
Space group P4/mbm (No. 127)
Asymmetric unit:
Nd  0.163  0.337  0.000 [4 per cell]
Y  0.000  0.000  0.500 [2 per cell]
Pd  0.000  0.500  0.500 [2 per cell]
O  0.000  0.000  0.000 [2 per cell]
O  0.168  0.668  0.264 [8 per cell]

Calculated values
formation energy (no corrections): -2389 meV/atom
total magnetic moment: 1.000 μB per formula unit
D(E_F): 0.8 states/eV/f.u.
electronic total energy: -135.0 eV/cell